Record 1
# BaPCl6

A relaxed BaPCl6 crystal (PBE-GGA, Alexandria).

Lattice parameters (Å, degrees): 6.2088 7.7173 6.2226 51.68 76.86 68.50
Fractional coordinates of all 8 atoms:
Cl  0.2188  0.4516  0.3293
Cl  0.5495  0.7813  0.0000
Cl  0.2188  0.7809  0.6707
Cl  0.7812  0.2191  0.3293
Cl  0.7812  0.5484  0.6707
Cl  0.4505  0.2187  0.0000
Ba  0.0000  0.0000  0.0000
P  0.5000  0.5000  0.0000

- Raw formation energy: -1.1753 eV/atom
- Symmetry: C2/m
- DOS(E_F): 3.0 states/eV/cell
- E: -3.4769 eV/atom

***

Record 2
# BaPCl3

A relaxed BaPCl3 crystal (PBE-GGA, Alexandria).

Lattice parameters (Å, degrees): 5.1636 5.1636 5.1636 90.00 90.00 90.00
Fractional coordinates of all 5 atoms:
Cl  0.5000  0.0000  0.0000
Cl  0.0000  0.5000  0.0000
Cl  0.0000  0.0000  0.5000
Ba  0.5000  0.5000  0.5000
P  0.0000  0.0000  0.0000

- Distance to the lowest polymorph of the same formula: 0.000 eV/atom
- Raw formation energy: -0.9556 eV/atom
- Symmetry: Pm-3m
- DOS(E_F): 1.4 states/eV/cell
- E: -3.5301 eV/atom

***

Record 3
# BaPCl2

A relaxed BaPCl2 crystal (PBE-GGA, Alexandria).

Lattice parameters (Å, degrees): 8.6980 8.6980 8.6980 32.55 32.55 32.55
Last column: magnetic moment on the atom in μB.
Fractional coordinates of all 4 atoms:
Ba  0.6647  0.6647  0.6647  0.01
P  0.5041  0.5041  0.5041  1.20
Cl  0.2777  0.2777  0.2777  0.04
Cl  0.0535  0.0535  0.0535  0.03

- Distance to the lowest polymorph of the same formula: 0.151 eV/atom
- Raw formation energy: -0.9674 eV/atom
- Symmetry: R3m
- E: -3.7238 eV/atom

***

Record 4
# BaPCl2

A relaxed BaPCl2 crystal (PBE-GGA, Alexandria).

Lattice parameters (Å, degrees): 6.5793 6.5793 6.5793 141.85 141.85 55.06
Last column: magnetic moment on the atom in μB.
Fractional coordinates of all 4 atoms:
Cl  0.0000  0.0000  0.0000  0.01
Cl  0.2500  0.7500  0.5000  0.02
Ba  0.7500  0.2500  0.5000  0.01
P  0.5000  0.5000  0.0000  0.36

- Distance to the lowest polymorph of the same formula: 0.228 eV/atom
- Raw formation energy: -0.8900 eV/atom
- Symmetry: I-4m2
- DOS(E_F): 2.5 states/eV/cell
- E: -3.6465 eV/atom

***

Record 5
# Ba2PPbCl

A relaxed Ba2PPbCl crystal (PBE-GGA, Alexandria).

Lattice parameters (Å, degrees): 6.2720 5.2872 6.2720 90.00 90.00 90.00
Fractional coordinates of all 5 atoms:
P  0.0000  0.0000  0.0000
Ba  0.5000  0.0000  0.0000
Ba  0.0000  0.0000  0.5000
Cl  0.5000  0.5000  0.5000
Pb  0.0000  0.5000  0.0000

- Raw formation energy: -0.7752 eV/atom
- Symmetry: P4/mmm
- DOS(E_F): 5.2 states/eV/cell
- E: -3.7373 eV/atom

***

Record 6
# BaPPbCl2

A relaxed BaPPbCl2 crystal (PBE-GGA, Alexandria).

Lattice parameters (Å, degrees): 5.6318 5.6318 6.1546 90.00 90.00 90.00
Last column: magnetic moment on the atom in μB.
Fractional coordinates of all 5 atoms:
Cl  0.5000  0.0000  0.0000  0.01
Cl  0.0000  0.5000  0.0000  0.01
Ba  0.5000  0.5000  0.5000  0.00
P  0.0000  0.0000  0.5000  0.25
Pb  0.0000  0.0000  0.0000  0.03

- Distance to the lowest polymorph of the same formula: 0.000 eV/atom
- Raw formation energy: -0.7860 eV/atom
- Symmetry: P4/mmm
- DOS(E_F): 4.4 states/eV/cell
- E: -3.7329 eV/atom

***

Record 7
# BaP2PbCl

A relaxed BaP2PbCl crystal (PBE-GGA, Alexandria).

Lattice parameters (Å, degrees): 5.4011 5.4011 5.7227 90.00 90.00 90.00
Last column: magnetic moment on the atom in μB.
Fractional coordinates of all 5 atoms:
Pb  0.0000  0.0000  0.0000  0.01
P  0.5000  0.0000  0.0000  0.09
P  0.0000  0.5000  0.0000  0.09
Ba  0.5000  0.5000  0.5000  0.00
Cl  0.0000  0.0000  0.5000  0.00

- Distance to the lowest polymorph of the same formula: 0.000 eV/atom
- Raw formation energy: -0.2685 eV/atom
- Symmetry: P4/mmm
- DOS(E_F): 4.8 states/eV/cell
- E: -3.9280 eV/atom

***

Record 8
# BaPPbCl2

A relaxed BaPPbCl2 crystal (PBE-GGA, Alexandria).

Lattice parameters (Å, degrees): 5.7172 5.7172 6.3736 90.00 90.00 90.00
Last column: magnetic moment on the atom in μB.
Fractional coordinates of all 5 atoms:
Ba  0.0000  0.0000  0.0000  0.03
Cl  0.0000  0.5000  0.0000  0.01
Cl  0.5000  0.0000  0.0000  0.01
P  0.0000  0.0000  0.5000  0.53
Pb  0.5000  0.5000  0.5000  -0.13

- Distance to the lowest polymorph of the same formula: 0.288 eV/atom
- Raw formation energy: -0.4983 eV/atom
- Symmetry: P4/mmm
- DOS(E_F): 2.0 states/eV/cell
- E: -3.4451 eV/atom